(1)
DFT (PBE) results for BaNpInI6 after structural relaxation.

Unit cell a=8.500 b=8.500 c=14.728 alpha=90.00 beta=90.00 gamma=120.00
Fractional coordinates of all 18 atoms:
Ba  0.333  0.667  0.250
Ba  0.667  0.333  0.750
Np  0.333  0.667  0.750
Np  0.667  0.333  0.250
In  0.000  0.000  0.000
In  0.000  0.000  0.500
I  0.032  0.368  0.627
I  0.032  0.663  0.873
I  0.337  0.368  0.873
I  0.337  0.968  0.627
I  0.368  0.032  0.127
I  0.368  0.337  0.373
I  0.632  0.663  0.627
I  0.632  0.968  0.873
I  0.663  0.032  0.373
I  0.663  0.632  0.127
I  0.968  0.337  0.127
I  0.968  0.632  0.373



(2)
DFT (PBE) results for KBrN3 after structural relaxation.

Unit cell a=4.187 b=4.187 c=4.187 alpha=90.00 beta=90.00 gamma=90.00
Fractional coordinates of all 5 atoms:
K  0.000  0.000  0.000
Br  0.500  0.500  0.500
N  0.000  0.500  0.500
N  0.500  0.000  0.500
N  0.500  0.500  0.000



Q: Which formation energy (no corrections) values were calculated for the entries above? A: -1.0567; 2.2240, in eV/atom.
Q: Which theoretical density values were calculated for the entries above? A: 4.51; 3.64, in g/cm3.